No. 1
This record from the Alexandria database describes a geometry-optimized SmDyCr2O8 structure. The functional is PBE with a Hubbard U.

Calculated values
Total magnetic moment, μB/cell: 2.00
Fermi-level density of states, states/eV/cell: 1.04
Electronic total energy, eV/atom: -7.649

a b c (Å): 6.0473 6.0473 6.0473
angles (deg): 105.94 105.94 116.80
Closest atoms and distances in Å follow each position.
Fractional coordinates of all 12 atoms:
Sm 0.0000 0.0000 0.0000  8 O 2.37-2.48
Dy 0.7500 0.2500 0.5000  8 O 2.35-2.44
Cr 0.2500 0.7500 0.5000  4 O 1.72
Cr 0.5000 0.5000 0.0000  4 O 1.73
O 0.0749 0.3941 0.3192  1 Cr 1.72
O 0.0749 0.7557 0.6808  1 Cr 1.72
O 0.1446 0.3295 0.8151  1 Cr 1.73
O 0.2443 0.9251 0.3192  1 Cr 1.72
O 0.5144 0.3295 0.1849  1 Cr 1.73
O 0.6059 0.9251 0.6808  1 Cr 1.72
O 0.6705 0.4856 0.8151  1 Cr 1.73
O 0.6705 0.8554 0.1849  1 Cr 1.73

***

No. 2
This record from the Alexandria database describes a geometry-optimized DyCr2SnO6 structure. The functional is PBE with a Hubbard U.

Calculated values
Total magnetic moment, μB/cell: 7.00
Electronic total energy, eV/atom: -7.509

a b c (Å): 5.3343 5.4224 5.7064
angles (deg): 63.41 89.91 60.90
Closest atoms and distances in Å follow each position.
Fractional coordinates of all 10 atoms:
Dy 0.0000 0.0000 0.0000  5 O 2.20-2.37
Cr 0.2157 0.5714 0.6254  6 O 1.99-2.09
Cr 0.7218 0.5490 0.1581  5 O 2.08-2.30
Sn 0.5211 0.9635 0.5435  6 O 2.05-2.20
O 0.1440 0.0267 0.3658  1 Sn 2.05, 1 Cr 2.06
O 0.3221 0.1090 0.8169  1 Cr 1.99, 1 Sn 2.11, 1 Dy 2.20
O 0.4313 0.4433 0.3595  2 Cr 2.07-2.08, 1 Sn 2.11
O 0.5795 0.4921 0.8398  2 Cr 2.04-2.17, 1 Sn 2.20, 1 Dy 2.23
O 0.8241 0.7512 0.3570  2 Cr 2.09-2.12, 1 Sn 2.09
O 0.9282 0.7280 0.8396  2 Cr 2.06-2.22, 1 Sn 2.14, 1 Dy 2.22

***

No. 3
This record from the Alexandria database describes a geometry-optimized Sr2DyCrO6 structure. The functional is PBE with a Hubbard U.

Calculated values
Total magnetic moment, μB/cell: 1.00
Fermi-level density of states, states/eV/cell: 3.64
Electronic total energy, eV/atom: -6.995

a b c (Å): 5.7832 5.7832 5.7832
angles (deg): 60.00 60.00 60.00
Closest atoms and distances in Å follow each position.
Fractional coordinates of all 10 atoms:
Sr 0.2500 0.2500 0.2500  12 O 2.90
Sr 0.7500 0.7500 0.7500  12 O 2.90
Dy 0.0000 0.0000 0.0000  6 O 2.20
Cr 0.5000 0.5000 0.5000  6 O 1.89
O 0.2690 0.2690 0.7310  1 Cr 1.89
O 0.2690 0.7310 0.2690  1 Cr 1.89
O 0.2690 0.7310 0.7310  1 Cr 1.89
O 0.7310 0.2690 0.2690  1 Cr 1.89
O 0.7310 0.2690 0.7310  1 Cr 1.89
O 0.7310 0.7310 0.2690  1 Cr 1.89

***

No. 4
This record from the Alexandria database describes a geometry-optimized SrDyCr2O8 structure. The functional is PBE with a Hubbard U.

Calculated values
Total magnetic moment, μB/cell: 1.00
Fermi-level density of states, states/eV/cell: 0.74
Electronic total energy, eV/atom: -7.204

a b c (Å): 6.1184 6.1184 6.1184
angles (deg): 105.93 105.93 116.81
Closest atoms and distances in Å follow each position.
Fractional coordinates of all 12 atoms:
Sr 0.0000 0.0000 0.0000  8 O 2.47-2.61
Dy 0.2500 0.7500 0.5000  8 O 2.35-2.50
Cr 0.5000 0.5000 0.0000  4 O 1.74
Cr 0.7500 0.2500 0.5000  4 O 1.66
O 0.3418 0.1504 0.8086  1 Cr 1.74
O 0.3418 0.5332 0.1914  1 Cr 1.74
O 0.4114 0.0848 0.3266  1 Cr 1.66
O 0.4668 0.6582 0.8086  1 Cr 1.74
O 0.7583 0.0848 0.6734  1 Cr 1.66
O 0.8496 0.6582 0.1914  1 Cr 1.74
O 0.9152 0.2417 0.3266  1 Cr 1.66
O 0.9152 0.5886 0.6734  1 Cr 1.66

***

No. 5
This record from the Alexandria database describes a geometry-optimized SrDyCr4O12 structure. The functional is PBE with a Hubbard U.

Calculated values
Total magnetic moment, μB/cell: 5.00
Fermi-level density of states, states/eV/cell: 7.87
Electronic total energy, eV/atom: -7.049

a b c (Å): 6.5944 6.1317 6.1317
angles (deg): 73.78 90.00 90.00
Closest atoms and distances in Å follow each position.
Fractional coordinates of all 18 atoms:
Sr 0.0000 0.0000 0.0000  8 O 2.49-2.65
Dy 0.5000 0.5117 0.5117  8 O 2.38-2.48
Cr 0.2533 0.4772 0.9818  5 O 1.73-1.94
Cr 0.2533 0.9818 0.4772  5 O 1.73-1.94
Cr 0.7467 0.4772 0.9818  5 O 1.73-1.94
Cr 0.7467 0.9818 0.4772  5 O 1.73-1.94
O 0.0000 0.6048 0.9679  2 Cr 1.84
O 0.0000 0.9679 0.6048  2 Cr 1.84
O 0.1713 0.2419 0.2419  2 Cr 1.91
O 0.2670 0.3123 0.7939  1 Cr 1.73
O 0.2670 0.7939 0.3123  1 Cr 1.73
O 0.3373 0.7402 0.7402  2 Cr 1.94, 1 O 2.15
O 0.5000 0.1293 0.4858  2 Cr 1.87
O 0.5000 0.4858 0.1293  2 Cr 1.87
O 0.6627 0.7402 0.7402  2 Cr 1.94, 1 O 2.15
O 0.7330 0.3123 0.7939  1 Cr 1.73
O 0.7330 0.7939 0.3123  1 Cr 1.73
O 0.8287 0.2419 0.2419  2 Cr 1.91

***

No. 6
This record from the Alexandria database describes a geometry-optimized DyTaCr2O6 structure. The functional is PBE with a Hubbard U.

Calculated values
Total magnetic moment, μB/cell: 6.01
Fermi-level density of states, states/eV/cell: 0.01
Electronic total energy, eV/atom: -8.520

a b c (Å): 5.3209 5.3219 5.6834
angles (deg): 65.22 89.76 60.15
Closest atoms and distances in Å follow each position.
Fractional coordinates of all 10 atoms:
Dy 0.0000 0.0000 0.0000  5 O 2.19-2.37
Ta 0.4994 0.0066 0.4678  5 O 1.93-2.08
Cr 0.2851 0.4286 0.8714  4 O 2.08-2.21
Cr 0.7892 0.4275 0.3992  6 O 2.03-2.16
O 0.0926 0.4943 0.1892  2 Cr 2.09-2.14, 1 Dy 2.21, 1 Ta 2.22
O 0.2031 0.9573 0.6439  1 Ta 1.93, 1 Cr 2.16
O 0.4247 0.8958 0.1867  1 Ta 2.02, 1 Cr 2.03, 1 Dy 2.20
O 0.5794 0.2286 0.6579  1 Ta 2.08, 2 Cr 2.09-2.11
O 0.6668 0.2399 0.1889  1 Ta 2.07, 2 Cr 2.12-2.21, 1 Dy 2.19
O 0.8764 0.5597 0.6742  1 Ta 2.00, 2 Cr 2.08-2.10

***

No. 7
This record from the Alexandria database describes a geometry-optimized DyTaCr2O8 structure. The functional is PBE with a Hubbard U.

Calculated values
Total magnetic moment, μB/cell: 3.99
Electronic total energy, eV/atom: -8.226

a b c (Å): 4.7391 4.7391 6.3207
angles (deg): 91.11 91.11 88.65
Closest atoms and distances in Å follow each position.
Fractional coordinates of all 12 atoms:
Dy 0.0000 0.0000 0.0000  6 O 2.22-2.23
Ta 0.0000 0.0000 0.5000  6 O 1.97-2.09
Cr 0.4992 0.4992 0.2513  6 O 1.89-2.10
Cr 0.5008 0.5008 0.7487  6 O 1.89-2.10
O 0.2074 0.7935 0.2763  1 Cr 1.95, 1 Ta 1.97
O 0.2065 0.7926 0.7237  1 Cr 1.95, 1 Ta 1.97
O 0.3078 0.3078 0.5069  2 Cr 1.99-2.10, 1 Ta 2.09
O 0.3284 0.3284 0.0103  2 Cr 1.89-2.05
O 0.6716 0.6716 0.9897  2 Cr 1.89-2.05
O 0.6922 0.6922 0.4931  2 Cr 1.99-2.10, 1 Ta 2.09
O 0.7935 0.2074 0.2763  1 Cr 1.95, 1 Ta 1.97
O 0.7926 0.2065 0.7237  1 Cr 1.95, 1 Ta 1.97

***

No. 8
This record from the Alexandria database describes a geometry-optimized DyTaCrO6 structure. The functional is PBE with a Hubbard U.

Calculated values
Total magnetic moment, μB/cell: 4.00
Fermi-level density of states, states/eV/cell: 0.06
Electronic total energy, eV/atom: -8.557

a b c (Å): 4.8118 4.8118 9.5312
angles (deg): 90.00 90.00 90.00
Closest atoms and distances in Å follow each position.
Fractional coordinates of all 18 atoms:
Dy 0.0000 0.0000 0.0000  6 O 2.20-2.33
Dy 0.5000 0.5000 0.5000  6 O 2.20-2.33
Ta 0.0000 0.0000 0.3388  6 O 1.99-2.03
Ta 0.5000 0.5000 0.8388  6 O 1.99-2.03
Cr 0.0000 0.0000 0.6713  6 O 1.95-2.00
Cr 0.5000 0.5000 0.1713  6 O 1.95-2.00
O 0.1766 0.1766 0.5080  1 Cr 1.97, 1 Ta 2.01, 1 Dy 2.20
O 0.2091 0.2091 0.8185  1 Ta 1.99, 1 Cr 2.00
O 0.2148 0.2148 0.1906  1 Cr 1.95, 1 Ta 2.03
O 0.2852 0.7148 0.6906  1 Cr 1.95, 1 Ta 2.03
O 0.2909 0.7091 0.3185  1 Ta 1.99, 1 Cr 2.00
O 0.3234 0.6766 0.0080  1 Cr 1.97, 1 Ta 2.01, 1 Dy 2.20
O 0.6766 0.3234 0.0080  1 Cr 1.97, 1 Ta 2.01, 1 Dy 2.20
O 0.7091 0.2909 0.3185  1 Ta 1.99, 1 Cr 2.00
O 0.7148 0.2852 0.6906  1 Cr 1.95, 1 Ta 2.03
O 0.7852 0.7852 0.1906  1 Cr 1.95, 1 Ta 2.03
O 0.7909 0.7909 0.8185  1 Ta 1.99, 1 Cr 2.00
O 0.8234 0.8234 0.5080  1 Cr 1.97, 1 Ta 2.01, 1 Dy 2.20

***

No. 9
This record from the Alexandria database describes a geometry-optimized DyCr2TeO8 structure. The functional is PBE with a Hubbard U.

Calculated values
Total magnetic moment, μB/cell: 4.99
Fermi-level density of states, states/eV/cell: 4.01
Electronic total energy, eV/atom: -7.005

a b c (Å): 4.7060 6.4459 4.7110
angles (deg): 90.00 90.97 90.00
Closest atoms and distances in Å follow each position.
Fractional coordinates of all 12 atoms:
Dy 0.0000 0.0000 0.0000  6 O 2.20-2.22
Cr 0.5000 0.2499 0.5000  6 O 1.98-2.11
Cr 0.5000 0.7501 0.5000  6 O 1.98-2.11
Te 0.0000 0.5000 0.0000  6 O 1.94-2.00
O 0.1995 0.2783 0.1976  1 Te 1.94, 1 Cr 2.00
O 0.1995 0.7217 0.1976  1 Te 1.94, 1 Cr 2.00
O 0.2975 0.5000 0.7007  1 Te 2.00, 2 Cr 2.11
O 0.3262 0.0000 0.6716  2 Cr 1.98, 1 Dy 2.20
O 0.6738 0.0000 0.3284  2 Cr 1.98, 1 Dy 2.20
O 0.7025 0.5000 0.2993  1 Te 2.00, 2 Cr 2.11
O 0.8005 0.2783 0.8024  1 Te 1.94, 1 Cr 2.00
O 0.8005 0.7217 0.8024  1 Te 1.94, 1 Cr 2.00

***

No. 10
This record from the Alexandria database describes a geometry-optimized Dy2TiCrO6 structure. The functional is PBE with a Hubbard U.

Calculated values
Total magnetic moment, μB/cell: 4.00
Electronic total energy, eV/atom: -8.273

a b c (Å): 5.2062 5.2062 4.9916
angles (deg): 90.00 90.00 90.00
Closest atoms and distances in Å follow each position.
Fractional coordinates of all 10 atoms:
Dy 0.0000 0.5000 0.0000  4 O 2.27
Dy 0.5000 0.0000 0.0000  4 O 2.27
Ti 0.0000 0.0000 0.5893  5 O 1.84-1.91
Cr 0.5000 0.5000 0.5947  5 O 2.04-2.16
O 0.0000 0.0000 0.2205  1 Ti 1.84
O 0.2400 0.2400 0.7358  1 Ti 1.91, 1 Cr 2.04
O 0.2400 0.7600 0.7358  1 Ti 1.91, 1 Cr 2.04
O 0.5000 0.5000 0.1626  1 Cr 2.16
O 0.7600 0.2400 0.7358  1 Ti 1.91, 1 Cr 2.04
O 0.7600 0.7600 0.7358  1 Ti 1.91, 1 Cr 2.04

***

No. 11
This record from the Alexandria database describes a geometry-optimized DyV2CrO8 structure. The functional is PBE with a Hubbard U.

Calculated values
Total magnetic moment, μB/cell: 2.97
Electronic total energy, eV/atom: -7.687

a b c (Å): 5.8307 5.8307 5.8307
angles (deg): 107.05 107.05 114.43
Closest atoms and distances in Å follow each position.
Fractional coordinates of all 12 atoms:
Dy 0.0000 0.0000 0.0000  8 O 2.21-2.47
V 0.5000 0.5000 0.0000  4 O 1.76
V 0.7500 0.2500 0.5000  4 O 1.72
Cr 0.2500 0.7500 0.5000  8 O 2.15-2.40
O 0.3257 0.1279 0.8022  1 V 1.76
O 0.3257 0.5235 0.1978  1 V 1.76
O 0.3832 0.0705 0.3127  1 V 1.72
O 0.4765 0.6743 0.8022  1 V 1.76
O 0.7578 0.0705 0.6873  1 V 1.72
O 0.8721 0.6743 0.1978  1 V 1.76
O 0.9295 0.2422 0.3127  1 V 1.72
O 0.9295 0.6168 0.6873  1 V 1.72

***

No. 12
This record from the Alexandria database describes a geometry-optimized DyZrCr2O6 structure. The functional is PBE with a Hubbard U.

Calculated values
Total magnetic moment, μB/cell: 7.00
Electronic total energy, eV/atom: -8.454

a b c (Å): 5.3496 5.4500 5.6926
angles (deg): 63.14 89.92 61.00
Closest atoms and distances in Å follow each position.
Fractional coordinates of all 10 atoms:
Dy 0.0000 0.0000 0.0000  5 O 2.20-2.36
Zr 0.5169 0.9745 0.5320  6 O 2.05-2.26
Cr 0.2177 0.5685 0.6305  6 O 2.00-2.09
Cr 0.7237 0.5511 0.1550  5 O 2.08-2.31
O 0.1414 0.0249 0.3690  1 Zr 2.05, 1 Cr 2.06
O 0.3264 0.1058 0.8228  1 Cr 2.00, 1 Zr 2.16, 1 Dy 2.20
O 0.4343 0.4467 0.3611  2 Cr 2.07-2.08, 1 Zr 2.10
O 0.5810 0.4907 0.8436  2 Cr 2.04-2.15, 1 Dy 2.24, 1 Zr 2.26
O 0.8303 0.7444 0.3585  2 Cr 2.09-2.11, 1 Zr 2.11
O 0.9317 0.7236 0.8443  2 Cr 2.05-2.18, 1 Zr 2.20, 1 Dy 2.22